First-principles (GGA-PBE) data for La4CoRhBr2 after structural relaxation, as listed in Alexandria via LeMat-Bulk.

abc: 4.112 7.171 8.278
angles: 106.67 90.00 90.00
Fractional coordinates of all 8 atoms:
Br 0.000 0.500 0.500
Br 0.500 0.000 0.500
Co 0.500 0.500 0.000
La 0.500 0.762 0.804
La 0.000 0.722 0.192
La 0.500 0.238 0.196
La 0.000 0.278 0.808
Rh 0.000 0.000 0.000

## Properties
- VASP energy: -5.70 eV/atom
- Formation energy from raw total energies: -1.01 eV per atom
- Size of the total moment: 0.0 μB/f.u.
- SG: P2/m (10)